# 1
# Pu4Ag2Au | the Alexandria database | GGA-PBE | relaxed
# formation energy from the elements: 0.064 eV per atom
# symmetry: I4/mmm, No. 139
# theoretical density: 12.871 Mg/m³
data_Pu4Ag2Au
_cell_length_a 9.2472
_cell_length_b 9.2472
_cell_length_c 9.2472
_cell_angle_alpha 151.54
_cell_angle_beta 151.54
_cell_angle_gamma 40.68
_symmetry_space_group_name_H-M 'P 1'
_symmetry_Int_Tables_number 1
_symmetry_space_group_name_Hall 'P 1'
loop_
_atom_site_label
_atom_site_type_symbol
_atom_site_fract_x
_atom_site_fract_y
_atom_site_fract_z
_atom_site_occupancy
Pu1 Pu 0.1182 0.6182 0.5000 1
Pu2 Pu 0.3818 0.8818 0.5000 1
Pu3 Pu 0.6182 0.1182 0.5000 1
Pu4 Pu 0.8818 0.3818 0.5000 1
Ag1 Ag 0.2483 0.2483 0.0000 1
Ag2 Ag 0.7517 0.7517 0.0000 1
Au1 Au 0.5000 0.5000 0.0000 1

***

# 2
# Pu2AgAu6 | the Alexandria database | GGA-PBE | relaxed
# formation energy from the elements: -0.279 eV per atom
# symmetry: C2/m, No. 12
# theoretical density: 15.956 Mg/m³
data_Pu2AgAu6
_cell_length_a 8.4389
_cell_length_b 8.4389
_cell_length_c 2.9996
_cell_angle_alpha 90.06
_cell_angle_beta 90.06
_cell_angle_gamma 60.00
_symmetry_space_group_name_H-M 'P 1'
_symmetry_Int_Tables_number 1
_symmetry_space_group_name_Hall 'P 1'
loop_
_atom_site_label
_atom_site_type_symbol
_atom_site_fract_x
_atom_site_fract_y
_atom_site_fract_z
_atom_site_occupancy
Pu1 Pu 0.1667 0.1667 0.0000 1
Pu2 Pu 0.8333 0.8333 0.0000 1
Ag1 Ag 0.5000 0.5000 0.0000 1
Au1 Au 0.1703 0.5000 0.5011 1
Au2 Au 0.1703 0.8298 0.5000 1
Au3 Au 0.5000 0.1703 0.5011 1
Au4 Au 0.5000 0.8297 0.4989 1
Au5 Au 0.8298 0.1703 0.5000 1
Au6 Au 0.8297 0.5000 0.4989 1

***

# 3
# PuAgAu2 | the Alexandria database | GGA-PBE | relaxed
# formation energy from the elements: -0.282 eV per atom
# symmetry: R-3m, No. 166
# theoretical density: 14.379 Mg/m³
data_PuAgAu2
_cell_length_a 4.9610
_cell_length_b 4.9610
_cell_length_c 4.9610
_cell_angle_alpha 59.89
_cell_angle_beta 59.89
_cell_angle_gamma 59.89
_symmetry_space_group_name_H-M 'P 1'
_symmetry_Int_Tables_number 1
_symmetry_space_group_name_Hall 'P 1'
loop_
_atom_site_label
_atom_site_type_symbol
_atom_site_fract_x
_atom_site_fract_y
_atom_site_fract_z
_atom_site_occupancy
Pu1 Pu 0.0000 0.0000 0.0000 1
Ag1 Ag 0.5000 0.5000 0.5000 1
Au1 Au 0.2496 0.2496 0.2496 1
Au2 Au 0.7504 0.7504 0.7504 1

***

# 4
# Pu3Ag2Au2 | the Alexandria database | GGA-PBE | relaxed
# formation energy from the elements: -0.148 eV per atom
# symmetry: Cmmm, No. 65
# theoretical density: 14.021 Mg/m³
data_Pu3Ag2Au2
_cell_length_a 16.0068
_cell_length_b 16.0068
_cell_length_c 3.1328
_cell_angle_alpha 90.00
_cell_angle_beta 90.00
_cell_angle_gamma 168.58
_symmetry_space_group_name_H-M 'P 1'
_symmetry_Int_Tables_number 1
_symmetry_space_group_name_Hall 'P 1'
loop_
_atom_site_label
_atom_site_type_symbol
_atom_site_fract_x
_atom_site_fract_y
_atom_site_fract_z
_atom_site_occupancy
Pu1 Pu 0.0000 0.0000 0.0000 1
Pu2 Pu 0.1398 0.8602 0.0000 1
Pu3 Pu 0.8602 0.1398 0.0000 1
Ag1 Ag 0.2871 0.7129 0.5000 1
Ag2 Ag 0.7129 0.2871 0.5000 1
Au1 Au 0.4298 0.5702 0.5000 1
Au2 Au 0.5702 0.4298 0.5000 1

***

# 5
# Pu4Ag3Au | the Alexandria database | GGA-PBE | relaxed
# formation energy from the elements: -0.011 eV per atom
# symmetry: Pmm2, No. 25
# theoretical density: 13.416 Mg/m³
data_Pu4Ag3Au
_cell_length_a 3.0330
_cell_length_b 5.0836
_cell_length_c 12.0137
_cell_angle_alpha 90.00
_cell_angle_beta 90.00
_cell_angle_gamma 90.00
_symmetry_space_group_name_H-M 'P 1'
_symmetry_Int_Tables_number 1
_symmetry_space_group_name_Hall 'P 1'
loop_
_atom_site_label
_atom_site_type_symbol
_atom_site_fract_x
_atom_site_fract_y
_atom_site_fract_z
_atom_site_occupancy
Pu1 Pu 0.0000 0.0000 0.0000 1
Pu2 Pu 0.0000 0.5000 0.3283 1
Pu3 Pu 0.5000 0.0000 0.4892 1
Pu4 Pu 0.5000 0.5000 0.8294 1
Ag1 Ag 0.0000 0.0000 0.7280 1
Ag2 Ag 0.0000 0.5000 0.5928 1
Ag3 Ag 0.5000 0.5000 0.0943 1
Au1 Au 0.5000 0.0000 0.2323 1

***

# 6
# Pu3AgAu2 | the Alexandria database | GGA-PBE | relaxed
# formation energy from the elements: -0.237 eV per atom
# symmetry: Cmmm, No. 65
# theoretical density: 14.714 Mg/m³
data_Pu3AgAu2
_cell_length_a 3.2355
_cell_length_b 3.2355
_cell_length_c 13.3010
_cell_angle_alpha 90.00
_cell_angle_beta 90.00
_cell_angle_gamma 90.09
_symmetry_space_group_name_H-M 'P 1'
_symmetry_Int_Tables_number 1
_symmetry_space_group_name_Hall 'P 1'
loop_
_atom_site_label
_atom_site_type_symbol
_atom_site_fract_x
_atom_site_fract_y
_atom_site_fract_z
_atom_site_occupancy
Pu1 Pu 0.0000 0.0000 0.0000 1
Pu2 Pu 0.0000 0.0000 0.3270 1
Pu3 Pu 0.0000 0.0000 0.6730 1
Ag1 Ag 0.5000 0.5000 0.5000 1
Au1 Au 0.5000 0.5000 0.1646 1
Au2 Au 0.5000 0.5000 0.8354 1

***

# 7
# Pu4AgRhAu2 | the Alexandria database | GGA-PBE | relaxed
# formation energy from the elements: -0.274 eV per atom
# symmetry: R-3m, No. 166
# theoretical density: 14.062 Mg/m³
data_Pu4AgRhAu2
_cell_length_a 8.6854
_cell_length_b 8.6854
_cell_length_c 8.6854
_cell_angle_alpha 34.41
_cell_angle_beta 34.41
_cell_angle_gamma 34.41
_symmetry_space_group_name_H-M 'P 1'
_symmetry_Int_Tables_number 1
_symmetry_space_group_name_Hall 'P 1'
loop_
_atom_site_label
_atom_site_type_symbol
_atom_site_fract_x
_atom_site_fract_y
_atom_site_fract_z
_atom_site_occupancy
Pu1 Pu 0.1134 0.1134 0.1134 1
Pu2 Pu 0.3652 0.3652 0.3652 1
Pu3 Pu 0.6348 0.6348 0.6348 1
Pu4 Pu 0.8866 0.8866 0.8866 1
Ag1 Ag 0.5000 0.5000 0.5000 1
Rh1 Rh 0.0000 0.0000 0.0000 1
Au1 Au 0.2393 0.2393 0.2393 1
Au2 Au 0.7607 0.7607 0.7607 1

***

# 8
# Pu2Si3AgAu4 | the Alexandria database | GGA-PBE | relaxed
# symmetry: P-4m2, No. 115
# uncorrected formation energy: -0.276 eV/atom
# theoretical density: 12.234 Mg/m³
data_Pu2Si3AgAu4
_cell_length_a 4.2949
_cell_length_b 4.2949
_cell_length_c 10.8020
_cell_angle_alpha 90.00
_cell_angle_beta 90.00
_cell_angle_gamma 90.00
_symmetry_space_group_name_H-M 'P 1'
_symmetry_Int_Tables_number 1
_symmetry_space_group_name_Hall 'P 1'
loop_
_atom_site_label
_atom_site_type_symbol
_atom_site_fract_x
_atom_site_fract_y
_atom_site_fract_z
_atom_site_occupancy
Pu1 Pu 0.0000 0.5000 0.2436 1
Pu2 Pu 0.5000 0.0000 0.7564 1
Si1 Si 0.0000 0.5000 0.8690 1
Si2 Si 0.5000 0.0000 0.1310 1
Si3 Si 0.5000 0.5000 0.5000 1
Ag1 Ag 0.0000 0.0000 0.5000 1
Au1 Au 0.0000 0.0000 0.0000 1
Au2 Au 0.0000 0.5000 0.6480 1
Au3 Au 0.5000 0.0000 0.3520 1
Au4 Au 0.5000 0.5000 0.0000 1